Below is an optimized crystal structure of Er4Hg5Pt2, with properties calculated at the PBE-GGA level.

Results
Space-group type: No. 10
DOS at the Fermi energy in states/eV/cell: 6.92
Mass density in g/cm3: 13.042
Energy of formation in eV per atom: -0.70
Raw total energy in eV for the cell shown: -39.54
Magnetic moment in μB/f.u.: 0.0

Structure (POSCAR):
```
Er4Hg5Pt2
1.0
7.646 0.000 0.000
0.000 3.562 0.000
-0.707 0.000 9.640
Er Hg Pt
4 5 2
Cartesian
1.118 0.000 3.403 Er
1.032 0.000 9.058 Er
5.907 0.000 0.582 Er
5.820 0.000 6.237 Er
0.845 1.781 6.162 Hg
3.408 1.781 1.645 Hg
3.469 1.781 4.820 Hg
3.531 1.781 7.995 Hg
6.094 1.781 3.478 Hg
0.477 1.781 1.340 Pt
6.462 1.781 8.300 Pt
```